# 1
VASP calculation (GGA-PBE) on a relaxed structure of ZrTlOs2.

Results
Uncorrected energy in eV per atom: -7.86
Mass density in Mg/m³: 14.91
Formation energy from the elements in eV per atom: 0.483
Energy relative to the lowest polymorph listed for this composition in meV per atom: 263

Cell: 2.9916 4.5932 5.4804 Å, 90.00 91.11 90.00°
Space group P2/m (No. 10)
Inequivalent atoms, fractional coordinates:
Zr1 0.0000 0.0000 0.0000
Tl1 0.5000 0.0000 0.5000
Os1 0.3360 0.5000 0.2111

---

# 2
VASP calculation (GGA-PBE) on a relaxed structure of ZrTlOs2.

Results
Uncorrected energy in eV per atom: -7.82
Mass density in Mg/m³: 15.00
Formation energy from the elements in eV per atom: 0.522
Energy relative to the lowest polymorph listed for this composition in meV per atom: 302

Cell: 3.1202 3.1202 26.6279 Å, 90.00 90.00 120.00°
Space group R-3m (No. 166, hexagonal axes)
Inequivalent atoms, fractional coordinates:
Zr1 0.0000 0.0000 0.0000
Tl1 0.0000 0.0000 0.5000
Os1 0.0000 0.0000 0.2556

---

# 3
VASP calculation (GGA-PBE) on a relaxed structure of ZrTlOs2.

Results
Uncorrected energy in eV per atom: -8.10
Mass density in Mg/m³: 14.64
Formation energy from the elements in eV per atom: 0.244
Energy relative to the lowest polymorph listed for this composition in meV per atom: 24

Cell: 2.8986 3.8019 6.9589 Å, 90.00 90.00 90.00°
Space group Pmm2 (No. 25)
Inequivalent atoms, fractional coordinates:
Zr1 0.0000 0.0000 0.0000
Tl1 0.5000 0.5000 0.6836
Os1 0.0000 0.0000 0.3956
Os2 0.5000 0.5000 0.2506

---

# 4
VASP calculation (GGA-PBE) on a relaxed structure of Zr6Tl3Os.

Results
Uncorrected energy in eV per atom: -6.82
Mass density in Mg/m³: 9.69
Formation energy from the elements in eV per atom: 0.137

Cell: 10.4511 5.9839 7.7708 Å, 90.00 107.77 90.00°
Space group C2/m (No. 12)
Inequivalent atoms, fractional coordinates:
Zr1 0.1319 0.0000 0.4086
Zr2 0.1365 0.2453 0.8283
Tl1 0.0000 0.5000 0.5000
Tl2 0.1251 0.5000 0.1957
Os1 0.0000 0.0000 0.0000

---

# 5
VASP calculation (GGA-PBE) on a relaxed structure of Tm5Os2.

Results
Uncorrected energy in eV per atom: -6.73
Mass density in Mg/m³: 11.69
Formation energy from the elements in eV per atom: -0.332

Cell: 15.3199 6.2613 7.3211 Å, 90.00 97.59 90.00°
Space group C2/c (No. 15)
Inequivalent atoms, fractional coordinates:
Tm1 0.0000 0.0813 0.2500
Tm2 0.0906 0.3834 0.9170
Tm3 0.2182 0.0765 0.3195
Os1 0.1096 0.2129 0.5797

---

# 6
VASP calculation (GGA-PBE) on a relaxed structure of Tm3Os.

Results
Uncorrected energy in eV per atom: -6.47
Mass density in Mg/m³: 11.42
Formation energy from the elements in eV per atom: -0.313

Cell: 7.3410 8.8869 6.2163 Å, 90.00 90.00 90.00°
Space group Pnma (No. 62)
Inequivalent atoms, fractional coordinates:
Tm1 0.0381 0.2500 0.1265
Tm2 0.1745 0.0618 0.6664
Os1 0.1180 0.7500 0.4618

---

# 7
VASP calculation (GGA-PBE) on a relaxed structure of TmOs3.

Results
Uncorrected energy in eV per atom: -9.23
Mass density in Mg/m³: 18.67
Formation energy from the elements in eV per atom: 0.314

Cell: 5.7469 5.7469 4.5988 Å, 90.00 90.00 120.00°
Space group P6_3/mmc (No. 194)
Inequivalent atoms, fractional coordinates:
Tm1 0.3333 0.6667 0.2500
Os1 0.1615 0.3231 0.7500

---

# 8
VASP calculation (GGA-PBE) on a relaxed structure of Tm3Os.

Results
Uncorrected energy in eV per atom: -6.39
Mass density in Mg/m³: 11.63
Formation energy from the elements in eV per atom: -0.233

Cell: 11.5287 11.5287 5.9900 Å, 90.00 90.00 90.00°
Space group P4_2/n (No. 86, origin choice 2)
Inequivalent atoms, fractional coordinates:
Tm1 0.0312 0.9166 0.2161
Tm2 0.1171 0.2962 0.0169
Tm3 0.1253 0.8352 0.7056
Os1 0.0420 0.3051 0.5350

---

# 9
VASP calculation (GGA-PBE) on a relaxed structure of Tm3Os.

Results
Uncorrected energy in eV per atom: -6.35
Mass density in Mg/m³: 11.82
Formation energy from the elements in eV per atom: -0.189

Cell: 3.5072 5.1290 10.8918 Å, 90.00 90.00 90.00°
Space group Immm (No. 71)
Inequivalent atoms, fractional coordinates:
Tm1 0.0000 0.0000 0.0000
Tm2 0.0000 0.5000 0.1983
Os1 0.0000 0.0000 0.5000

---

# 10
VASP calculation (GGA-PBE) on a relaxed structure of Tm3Os.

Results
Uncorrected energy in eV per atom: -6.42
Mass density in Mg/m³: 11.69
Formation energy from the elements in eV per atom: -0.257

Cell: 11.5279 11.5279 5.9600 Å, 90.00 90.00 90.00°
Space group I-42m (No. 121)
Inequivalent atoms, fractional coordinates:
Tm1 0.0000 0.3583 0.0000
Tm2 0.0965 0.0965 0.7392
Tm3 0.2035 0.2035 0.2947
Os1 0.0000 0.2883 0.5000

---

# 11
VASP calculation (GGA-PBE) on a relaxed structure of Tm3U2Os4.

Results
Uncorrected energy in eV per atom: -9.20
Mass density in Mg/m³: 14.76
Formation energy from the elements in eV per atom: -0.211

Cell: 10.5477 4.3039 8.7716 Å, 90.00 99.87 90.00°
Space group C2/m (No. 12)
Inequivalent atoms, fractional coordinates:
Tm1 0.0000 0.0000 0.0000
Tm2 0.1263 0.5000 0.3875
U1 0.1744 0.5000 0.7773
Os1 0.0848 0.0000 0.6290
Os2 0.2146 0.5000 0.0925

---

# 12
VASP calculation (GGA-PBE) on a relaxed structure of Tm2UOs2.

Results
Uncorrected energy in eV per atom: -8.81
Mass density in Mg/m³: 14.52
Formation energy from the elements in eV per atom: -0.270

Cell: 9.8398 5.7369 7.9059 Å, 90.00 101.49 90.00°
Space group C2/c (No. 15)
Inequivalent atoms, fractional coordinates:
Tm1 0.1495 0.1400 0.1502
U1 0.0000 0.3510 0.7500
Os1 0.1321 0.3635 0.5066

---

# 13
VASP calculation (GGA-PBE) on a relaxed structure of Tm3UOs3.

Results
Uncorrected energy in eV per atom: -8.52
Mass density in Mg/m³: 14.50
Formation energy from the elements in eV per atom: -0.177

Cell: 9.2919 9.2919 6.0446 Å, 90.00 90.00 120.00°
Space group R-3m (No. 166, hexagonal axes)
Inequivalent atoms, fractional coordinates:
Tm1 0.0000 0.5000 0.0000
U1 0.0000 0.0000 0.0000
Os1 0.0000 0.5000 0.5000